## Ac2ZrSb3Rh4 (PBE)

Data for a geometry-optimized Ac2ZrSb3Rh4 structure.

The structure in POSCAR format:
```
Ac2ZrSb3Rh4
1.0
-2.896 -3.361 -0.916
3.251 -2.179 -2.280
3.067 -5.184 9.328
Ac Zr Sb Rh
2 1 3 4
Direct
0.500 0.000 0.241
0.000 0.500 0.759
0.500 0.500 0.500
0.000 0.000 0.500
0.500 0.000 0.872
0.000 0.500 0.128
0.500 0.500 0.000
0.000 0.000 0.000
0.500 0.000 0.634
0.000 0.500 0.366
```

Computed properties:
* N(E_F): 9.57 states/eV/f.u.
* VASP energy: -67.2 eV for the cell shown
* symmetry: P-4m2 (115)
* ΔE_f (raw): -0.86 eV/atom

---

## AcSc2Rh (PBE)

Data for a geometry-optimized AcSc2Rh structure.

The structure in POSCAR format:
```
AcSc2Rh
1.0
-1.083 -3.698 -1.042
2.734 -2.573 -1.355
1.926 -4.640 6.818
Sc Ac Rh
2 1 1
Direct
0.717 0.717 0.850
0.283 0.283 0.150
0.500 0.500 0.500
0.000 0.000 0.000
```

Computed properties:
* N(E_F): 4.41 states/eV/f.u.
* E_form: -0.3069 eV per atom
* VASP energy: -25.4 eV for the cell shown
* symmetry: R-3m (166)

---

## AcSc2Rh (PBE)

Data for a geometry-optimized AcSc2Rh structure.

The structure in POSCAR format:
```
AcSc2Rh
1.0
-1.307 -1.055 -2.967
-2.828 -1.021 1.609
-3.465 7.693 -1.209
Sc Ac Rh
2 1 1
Direct
0.000 0.000 0.824
0.000 0.000 0.176
0.500 0.500 0.500
0.500 0.500 0.000
```

Computed properties:
* N(E_F): 5.63 states/eV/f.u.
* E_form: -0.3727 eV per atom
* VASP energy: -25.6 eV for the cell shown
* symmetry: P4/mmm (123)

---

## Ac2ScSn3Rh4 (PBE)

Data for a geometry-optimized Ac2ScSn3Rh4 structure.

The structure in POSCAR format:
```
Ac2ScSn3Rh4
1.0
4.470 0.000 0.000
0.000 4.470 0.000
0.000 0.000 11.428
Ac Sc Sn Rh
2 1 3 4
Direct
0.500 0.000 0.244
0.000 0.500 0.756
0.500 0.500 0.500
0.000 0.000 0.500
0.500 0.000 0.875
0.000 0.500 0.125
0.500 0.500 0.000
0.000 0.000 0.000
0.500 0.000 0.639
0.000 0.500 0.361
```

Computed properties:
* N(E_F): 7.27 states/eV/f.u.
* E_form: -0.7915 eV per atom
* VASP energy: -63.9 eV for the cell shown
* symmetry: P-4m2 (115)

---

## Ac2ScTe3Rh4 (PBE)

Data for a geometry-optimized Ac2ScTe3Rh4 structure.

The structure in POSCAR format:
```
Ac2ScTe3Rh4
1.0
-4.076 0.547 -1.831
-1.618 -3.280 2.623
-2.530 7.558 7.891
Ac Sc Te Rh
2 1 3 4
Direct
0.500 0.000 0.233
0.000 0.500 0.767
0.500 0.500 0.500
0.000 0.000 0.500
0.500 0.000 0.867
0.000 0.500 0.133
0.500 0.500 0.000
0.000 0.000 0.000
0.500 0.000 0.632
0.000 0.500 0.368
```

Computed properties:
* N(E_F): 7.47 states/eV/f.u.
* VASP energy: -62.1 eV for the cell shown
* symmetry: P-4m2 (115)
* ΔE_f (raw): -0.87 eV/atom

---

## AcScZnRh (PBE)

Data for a geometry-optimized AcScZnRh structure.

The structure in POSCAR format:
```
AcScZnRh
1.0
-5.052 -0.127 -0.267
-2.748 -0.409 4.230
-2.721 3.939 1.641
Sc Ac Rh Zn
1 1 1 1
Direct
0.250 0.250 0.250
0.750 0.750 0.750
0.500 0.500 0.500
0.000 0.000 0.000
```

Computed properties:
* N(E_F): 2.18 states/eV/f.u.
* E_form: -0.3623 eV per atom
* VASP energy: -20.5 eV for the cell shown
* symmetry: F-43m (216)

---

## Ac4Rh2Se (PBE)

Data for a geometry-optimized Ac4Rh2Se structure.

The structure in POSCAR format:
```
Ac4Rh2Se
1.0
-4.294 -0.521 -0.412
-2.086 -2.892 2.483
-4.323 9.042 10.704
Ac Rh Se
4 2 1
Direct
0.125 0.125 0.625
0.285 0.285 0.146
0.715 0.715 0.854
0.875 0.875 0.375
0.423 0.423 0.731
0.577 0.577 0.269
0.000 0.000 0.000
```

Computed properties:
* N(E_F): 1.12 states/eV/f.u.
* VASP energy: -41.6 eV for the cell shown
* symmetry: R-3m (166)
* ΔE_f (raw): -0.99 eV/atom

---

## Ac6Rh2Se3 (PBE)

Data for a geometry-optimized Ac6Rh2Se3 structure.

The structure in POSCAR format:
```
Ac6Rh2Se3
1.0
4.353 0.000 0.432
2.155 3.782 0.432
-0.004 -0.002 22.211
Ac Rh Se
6 2 3
Direct
0.090 0.090 0.730
0.910 0.910 0.270
0.194 0.194 0.417
0.806 0.806 0.583
0.361 0.361 0.916
0.639 0.639 0.084
0.449 0.449 0.652
0.551 0.551 0.348
0.000 0.000 0.000
0.277 0.277 0.170
0.723 0.723 0.830
```

Computed properties:
* N(E_F): 5.46 states/eV/f.u.
* VASP energy: -64.2 eV for the cell shown
* symmetry: R-3m (166)
* ΔE_f (raw): -1.31 eV/atom

---

## AcRhSe2 (PBE)

Data for a geometry-optimized AcRhSe2 structure.

The structure in POSCAR format:
```
AcRhSe2
1.0
4.546 0.000 0.000
2.273 3.937 0.000
2.273 1.312 5.190
Ac Rh Se
1 1 2
Direct
0.500 0.500 0.500
0.000 0.000 0.000
0.722 0.722 0.833
0.278 0.278 0.167
```

Computed properties:
* N(E_F): 2.93 states/eV/f.u.
* VASP energy: -22.4 eV for the cell shown
* symmetry: R-3m (166)
* ΔE_f (raw): -1.00 eV/atom

---

## Ac3TeRhSe (PBE)

Data for a geometry-optimized Ac3TeRhSe structure.

The structure in POSCAR format:
```
Ac3TeRhSe
1.0
4.347 0.000 0.000
0.000 7.758 -0.355
0.000 -1.971 12.283
Ac Te Rh Se
6 2 2 2
Direct
0.750 0.036 0.138
0.250 0.964 0.862
0.250 0.748 0.496
0.750 0.252 0.504
0.750 0.553 0.143
0.250 0.447 0.857
0.250 0.357 0.316
0.750 0.643 0.684
0.250 0.765 0.048
0.750 0.235 0.952
0.250 0.124 0.643
0.750 0.876 0.357
```

Computed properties:
* N(E_F): 3.73 states/eV/f.u.
* VASP energy: -67.4 eV for the cell shown
* symmetry: P2_1/m (11)
* ΔE_f (raw): -1.23 eV/atom

---

## Ac8Te4RhSe3 (PBE)

Data for a geometry-optimized Ac8Te4RhSe3 structure.

The structure in POSCAR format:
```
Ac8Te4RhSe3
1.0
-8.333 -3.575 1.296
3.830 -7.462 4.040
1.948 8.357 3.205
Ac Te Rh Se
8 4 1 3
Direct
0.232 0.720 0.988
0.233 0.721 0.465
0.257 0.270 0.513
0.756 0.720 0.988
0.244 0.280 0.012
0.743 0.730 0.487
0.767 0.279 0.535
0.768 0.280 0.012
0.500 0.000 0.000
0.500 0.000 0.500
0.000 0.000 0.000
0.000 0.000 0.500
0.000 0.500 0.000
0.500 0.500 0.000
0.500 0.500 0.500
0.000 0.500 0.500
```

Computed properties:
* N(E_F): 10.70 states/eV/f.u.
* VASP energy: -88.0 eV for the cell shown
* symmetry: R-3m (166)
* ΔE_f (raw): -1.54 eV/atom

---

## Ac4Te2RhSe (PBE)

Data for a geometry-optimized Ac4Te2RhSe structure.

The structure in POSCAR format:
```
Ac4Te2RhSe
1.0
-0.391 2.554 -3.620
-7.250 2.362 2.449
5.518 5.222 3.088
Ac Te Rh Se
4 2 1 1
Direct
0.500 0.253 0.225
0.500 0.747 0.775
0.000 0.279 0.788
0.000 0.721 0.212
0.500 0.000 0.500
0.000 0.500 0.500
0.500 0.500 0.000
0.000 0.000 0.000
```

Computed properties:
* N(E_F): 7.05 states/eV/f.u.
* VASP energy: -44.6 eV for the cell shown
* symmetry: P2/m (10)
* ΔE_f (raw): -1.39 eV/atom

---

Copy entry 4 word for word.
## Ac2ScSn3Rh4 (PBE)

Data for a geometry-optimized Ac2ScSn3Rh4 structure.

The structure in POSCAR format:
```
Ac2ScSn3Rh4
1.0
4.470 0.000 0.000
0.000 4.470 0.000
0.000 0.000 11.428
Ac Sc Sn Rh
2 1 3 4
Direct
0.500 0.000 0.244
0.000 0.500 0.756
0.500 0.500 0.500
0.000 0.000 0.500
0.500 0.000 0.875
0.000 0.500 0.125
0.500 0.500 0.000
0.000 0.000 0.000
0.500 0.000 0.639
0.000 0.500 0.361
```

Computed properties:
* N(E_F): 7.27 states/eV/f.u.
* E_form: -0.7915 eV per atom
* VASP energy: -63.9 eV for the cell shown
* symmetry: P-4m2 (115)